1.
# NpTlW, optimized geometry, DFT PBE
data_NpTlW
_cell_length_a 4.689
_cell_length_b 4.689
_cell_length_c 4.689
_cell_angle_alpha 60.00
_cell_angle_beta 60.00
_cell_angle_gamma 60.00
_symmetry_space_group_name_H-M 'P 1'
_symmetry_Int_Tables_number 1
loop_
_symmetry_equiv_pos_as_xyz
'x,y,z'
loop_
_atom_site_label
_atom_site_type_symbol
_atom_site_fract_x
_atom_site_fract_y
_atom_site_fract_z
W1 W 0.000 0.000 0.000
Tl1 Tl 0.250 0.250 0.250
Np1 Np 0.750 0.750 0.750
# Spin magnetization = 0.8893 μB per atom
# SG = F-43m, No. 216
# Total DFT energy (no corrections) = -8.22 eV/atom
# Density = 14238 kg/m3


2.
# ZnTePtO, optimized geometry, DFT PBE
data_ZnTePtO
_cell_length_a 6.271
_cell_length_b 10.975
_cell_length_c 8.591
_cell_angle_alpha 90.00
_cell_angle_beta 90.00
_cell_angle_gamma 90.00
_symmetry_space_group_name_H-M 'P 1'
_symmetry_Int_Tables_number 1
loop_
_symmetry_equiv_pos_as_xyz
'x,y,z'
loop_
_atom_site_label
_atom_site_type_symbol
_atom_site_fract_x
_atom_site_fract_y
_atom_site_fract_z
O1 O 0.752 0.836 0.096
Pt1 Pt 0.997 0.335 0.251
Pt2 Pt 0.497 0.165 0.749
O2 O 0.248 0.164 0.904
Zn1 Zn 0.255 0.826 0.007
Zn2 Zn 0.755 0.674 0.993
Te1 Te 0.507 0.083 0.250
Pt3 Pt 0.497 0.335 0.249
Pt4 Pt 0.503 0.665 0.751
Zn3 Zn 0.255 0.674 0.507
O3 O 0.252 0.664 0.904
Te2 Te 0.993 0.917 0.750
Te3 Te 0.493 0.917 0.750
Te4 Te 0.507 0.417 0.750
Te5 Te 0.493 0.583 0.250
Zn4 Zn 0.745 0.174 0.993
Zn5 Zn 0.245 0.174 0.507
Pt5 Pt 0.003 0.835 0.249
O4 O 0.748 0.336 0.096
Zn6 Zn 0.745 0.326 0.493
Pt6 Pt 0.003 0.665 0.749
Pt7 Pt 0.997 0.165 0.751
O5 O 0.752 0.664 0.596
Pt8 Pt 0.503 0.835 0.251
O6 O 0.248 0.336 0.404
Te6 Te 0.007 0.083 0.250
O7 O 0.748 0.164 0.596
Zn7 Zn 0.245 0.326 0.007
O8 O 0.252 0.836 0.404
Zn8 Zn 0.755 0.826 0.493
Te7 Te 0.007 0.417 0.750
Te8 Te 0.993 0.583 0.250
# Spin magnetization = 0.0005 μB per atom
# SG = Pbca, No. 61
# Total DFT energy (no corrections) = -4.21 eV/atom
# Density = 9079 kg/m3


3.
# Zr2AlGaFe2Ir2, optimized geometry, DFT PBE
data_Zr2AlGaFe2Ir2
_cell_length_a 4.401
_cell_length_b 4.401
_cell_length_c 6.226
_cell_angle_alpha 90.00
_cell_angle_beta 90.00
_cell_angle_gamma 90.00
_symmetry_space_group_name_H-M 'P 1'
_symmetry_Int_Tables_number 1
loop_
_symmetry_equiv_pos_as_xyz
'x,y,z'
loop_
_atom_site_label
_atom_site_type_symbol
_atom_site_fract_x
_atom_site_fract_y
_atom_site_fract_z
Zr1 Zr 0.000 0.000 0.500
Fe1 Fe 0.000 0.500 0.751
Fe2 Fe 0.500 0.000 0.249
Ir1 Ir 0.500 0.000 0.753
Ga1 Ga 0.500 0.500 0.500
Al1 Al 0.000 0.000 0.000
Zr2 Zr 0.500 0.500 0.000
Ir2 Ir 0.000 0.500 0.247
# Spin magnetization = 0.0010 μB per atom
# SG = P-4m2, No. 115
# Total DFT energy (no corrections) = -7.86 eV/atom
# Density = 10678 kg/m3


4.
# MgFeAuS3, optimized geometry, DFT PBE
data_MgFeAuS3
_cell_length_a 6.744
_cell_length_b 6.744
_cell_length_c 9.658
_cell_angle_alpha 90.00
_cell_angle_beta 90.00
_cell_angle_gamma 150.57
_symmetry_space_group_name_H-M 'P 1'
_symmetry_Int_Tables_number 1
loop_
_symmetry_equiv_pos_as_xyz
'x,y,z'
loop_
_atom_site_label
_atom_site_type_symbol
_atom_site_fract_x
_atom_site_fract_y
_atom_site_fract_z
Fe1 Fe 0.000 0.000 0.500
S1 S 0.041 0.959 0.250
Fe2 Fe 0.000 0.000 0.000
Au1 Au 0.655 0.345 0.750
S2 S 0.959 0.041 0.750
Mg1 Mg 0.323 0.677 0.750
Au2 Au 0.345 0.655 0.250
S3 S 0.379 0.621 0.013
S4 S 0.621 0.379 0.987
S5 S 0.379 0.621 0.487
S6 S 0.621 0.379 0.513
Mg2 Mg 0.677 0.323 0.250
# Spin magnetization = 0.2965 μB per atom
# SG = Cmcm, No. 63
# Total DFT energy (no corrections) = -4.67 eV/atom
# Density = 5744 kg/m3


5.
# NdDy2Al7Cu2, optimized geometry, DFT PBE
data_NdDy2Al7Cu2
_cell_length_a 9.117
_cell_length_b 9.117
_cell_length_c 9.117
_cell_angle_alpha 35.28
_cell_angle_beta 35.28
_cell_angle_gamma 35.28
_symmetry_space_group_name_H-M 'P 1'
_symmetry_Int_Tables_number 1
loop_
_symmetry_equiv_pos_as_xyz
'x,y,z'
loop_
_atom_site_label
_atom_site_type_symbol
_atom_site_fract_x
_atom_site_fract_y
_atom_site_fract_z
Al1 Al 0.500 0.500 0.500
Al2 Al 0.582 0.073 0.582
Dy1 Dy 0.142 0.142 0.142
Al3 Al 0.073 0.582 0.582
Cu1 Cu 0.335 0.335 0.335
Al4 Al 0.582 0.582 0.073
Al5 Al 0.418 0.418 0.927
Nd1 Nd 0.000 0.000 0.000
Dy2 Dy 0.858 0.858 0.858
Al6 Al 0.927 0.418 0.418
Cu2 Cu 0.665 0.665 0.665
Al7 Al 0.418 0.927 0.418
# Spin magnetization = 0.0009 μB per atom
# SG = R-3m, No. 166
# Total DFT energy (no corrections) = -4.47 eV/atom
# Density = 5775 kg/m3


6.
# NbAsPb, optimized geometry, DFT PBE
data_NbAsPb
_cell_length_a 4.688
_cell_length_b 4.688
_cell_length_c 4.688
_cell_angle_alpha 60.00
_cell_angle_beta 60.00
_cell_angle_gamma 60.00
_symmetry_space_group_name_H-M 'P 1'
_symmetry_Int_Tables_number 1
loop_
_symmetry_equiv_pos_as_xyz
'x,y,z'
loop_
_atom_site_label
_atom_site_type_symbol
_atom_site_fract_x
_atom_site_fract_y
_atom_site_fract_z
Pb1 Pb 0.000 0.000 0.000
Nb1 Nb 0.250 0.250 0.250
As1 As 0.500 0.500 0.500
# Spin magnetization = 0.0568 μB per atom
# SG = F-43m, No. 216
# Total DFT energy (no corrections) = -5.64 eV/atom
# Density = 8548 kg/m3